w.
A plane-wave DFT calculation with meta-GGA SCAN was carried out for Mg2ReBr at its PBEsol-relaxed geometry.

- crystal system = orthorhombic
- size of the total moment (μB per formula unit) = 0.0

a b c (Å): 3.0331 3.0331 8.3102
angles (deg): 90.00 90.00 105.93
Closest atoms and distances in Å follow each position.
Sites, in units of the cell vectors:
Mg: 0.0000 0.0000 0.2646  2 Re 2.68, 2 Br 2.86
Mg: 0.0000 0.0000 0.7354  2 Re 2.68, 2 Br 2.86
Br: 0.5000 0.5000 0.0000  4 Mg 2.86, 4 Br 3.03
Re: 0.5000 0.5000 0.5000  4 Mg 2.68



x.
A plane-wave DFT calculation with meta-GGA SCAN was carried out for Mg2ReBr at its PBEsol-relaxed geometry.

- crystal system = tetragonal
- size of the total moment (μB per formula unit) = 1.5

a b c (Å): 2.9890 4.9680 4.9680
angles (deg): 90.00 90.00 90.00
Closest atoms and distances in Å follow each position.
Sites, in units of the cell vectors:
Br: 0.5000 0.0000 0.0000  8 Mg 2.90, 2 Br 2.99
Mg: 0.0000 0.0000 0.5000  4 Br 2.90, 4 Re 2.90, 2 Mg 2.99
Mg: 0.0000 0.5000 0.0000  4 Br 2.90, 4 Re 2.90, 2 Mg 2.99
Re: 0.5000 0.5000 0.5000  8 Mg 2.90, 2 Re 2.99



y.
A plane-wave DFT calculation with meta-GGA SCAN was carried out for Mg2ReBr at its PBEsol-relaxed geometry.

- crystal system = orthorhombic
- size of the total moment (μB per formula unit) = 0.0

a b c (Å): 2.9595 4.6839 6.6159
angles (deg): 110.73 102.92 90.00
Closest atoms and distances in Å follow each position.
Sites, in units of the cell vectors:
Br: 0.1844 0.6844 0.3687  2 Re 2.54
Mg: 0.9825 0.9825 0.9649  4 Re 2.79, 4 Mg 2.96-3.04
Mg: 0.8207 0.3207 0.6414  2 Re 2.74, 4 Mg 2.96-3.04
Re: 0.5125 0.5125 0.0249  2 Br 2.54, 6 Mg 2.74-2.79



Q: Which of them is the most stable? A: w.



w.
A plane-wave DFT calculation with meta-GGA SCAN was carried out for MgSeBr2 at its PBEsol-relaxed geometry.

- crystal system = tetragonal
- size of the total moment (μB per formula unit) = 0.0

a b c (Å): 3.2215 3.2215 10.2961
angles (deg): 90.00 90.00 90.00
Closest atoms and distances in Å follow each position.
Sites, in units of the cell vectors:
Br: 0.0000 0.0000 0.1591  4 Mg 2.81
Br: 0.0000 0.0000 0.8409  4 Mg 2.81
Se: 0.5000 0.5000 0.5000  4 Se 3.22
Mg: 0.5000 0.5000 0.0000  8 Br 2.81



x.
A plane-wave DFT calculation with meta-GGA SCAN was carried out for MgSeBr2 at its PBEsol-relaxed geometry.

- crystal system = tetragonal
- size of the total moment (μB per formula unit) = 0.0

a b c (Å): 3.8557 3.8557 7.7292
angles (deg): 90.00 90.00 90.00
Closest atoms and distances in Å follow each position.
Sites, in units of the cell vectors:
Se: 0.5000 0.5000 0.5913  1 Br 2.37
Br: 0.0000 0.0000 0.9651  1 Mg 2.37
Br: 0.5000 0.5000 0.2849  1 Se 2.37
Mg: 0.0000 0.0000 0.6587  1 Br 2.37



y.
A plane-wave DFT calculation with meta-GGA SCAN was carried out for MgSeBr2 at its PBEsol-relaxed geometry.

- crystal system = monoclinic
- size of the total moment (μB per formula unit) = 0.0

a b c (Å): 3.7558 5.3609 5.5001
angles (deg): 102.12 90.00 110.51
Closest atoms and distances in Å follow each position.
Sites, in units of the cell vectors:
Se: 0.1585 0.3170 0.7253  1 Br 2.41, 2 Mg 2.66
Br: 0.8133 0.6266 0.3562  3 Mg 2.82-2.97, 1 Br 3.02
Br: 0.0008 0.0015 0.9962  1 Se 2.41
Mg: 0.5274 0.0548 0.4223  2 Se 2.66, 5 Br 2.82-2.97



Q: Which of them is the most stable? A: y.



w.
A plane-wave DFT calculation with meta-GGA SCAN was carried out for Mg2SiBr at its PBEsol-relaxed geometry.

- crystal system = orthorhombic
- size of the total moment (μB per formula unit) = 0.0

a b c (Å): 3.7285 5.3310 5.3310
angles (deg): 70.83 69.53 69.53
Closest atoms and distances in Å follow each position.
Sites, in units of the cell vectors:
Mg: 0.7463 0.2537 0.2537  2 Si 2.69, 2 Br 2.73
Mg: 0.2537 0.7463 0.7463  2 Si 2.69, 2 Br 2.73
Si: 0.0000 0.5000 0.5000  4 Mg 2.69
Br: 0.5000 0.0000 0.0000  4 Mg 2.73



x.
A plane-wave DFT calculation with meta-GGA SCAN was carried out for Mg2SiBr at its PBEsol-relaxed geometry.

- crystal system = orthorhombic
- size of the total moment (μB per formula unit) = 0.0

a b c (Å): 3.2678 4.7183 5.6160
angles (deg): 90.01 106.91 90.00
Closest atoms and distances in Å follow each position.
Sites, in units of the cell vectors:
Br: 0.7576 0.1253 0.5153  5 Mg 2.62-2.88
Mg: 0.2353 0.6254 0.4705  4 Br 2.88, 3 Si 2.91-2.96
Mg: 0.0010 0.1246 0.0020  1 Br 2.62, 4 Si 2.87
Si: 0.5061 0.6247 0.0122  7 Mg 2.87-2.96



y.
A plane-wave DFT calculation with meta-GGA SCAN was carried out for Mg2SiBr at its PBEsol-relaxed geometry.

- crystal system = orthorhombic
- size of the total moment (μB per formula unit) = 0.0

a b c (Å): 3.6425 3.4173 7.6041
angles (deg): 102.99 103.86 90.00
Closest atoms and distances in Å follow each position.
Sites, in units of the cell vectors:
Mg: 0.9712 0.9712 0.9424  4 Si 2.73, 2 Br 3.00
Mg: 0.1817 0.6817 0.3634  2 Si 2.65
Si: 0.5479 0.5479 0.0957  6 Mg 2.65-2.73
Br: 0.7993 0.2993 0.5985  6 Mg 3.00-3.01



Q: Which of them is the most stable? A: y.